Compound: LaFeAs2
Source: Alexandria
Functional: GGA-PBE
Structure: relaxed

Cell: 4.1895 4.1895 9.7124 Å, 90.00 90.00 90.00°
Last column: nearest neighbours and their distance in Å.
Space group I-4m2 (No. 119)
One atom of each set of equivalent atoms:
La 0.0000 0.0000 0.0000 [2 per cell]  8 As 2.96-3.21, 4 Fe 3.21
Fe 0.0000 0.5000 0.2500 [2 per cell]  8 As 2.96-3.21, 4 La 3.21
As 0.0000 0.0000 0.5000 [2 per cell]  4 La 2.96, 4 Fe 3.21, 4 As 3.21
As 0.0000 0.5000 0.7500 [2 per cell]  4 Fe 2.96, 4 La 3.21, 4 As 3.21

Computed properties:
As for the energy: -5.885 eV/atom. The value obtained for the density of states at the Fermi level is 10.04 states/eV per cell. For the size of the total moment, the calculation gives 3.1 μB/f.u.